1.
RbNaTl2Bi2: relaxed, PBE.

Unit cell a=5.4448 b=5.4448 c=8.6192 alpha=90.00 beta=90.00 gamma=120.00
Fractional coordinates of all 6 atoms:
1 Rb 0.0000 0.0000 0.0000
2 Na 0.0000 0.0000 0.5000
3 Tl 0.3333 0.6667 0.6415
4 Tl 0.6667 0.3333 0.3585
5 Bi 0.3333 0.6667 0.2702
6 Bi 0.6667 0.3333 0.7298

Output
Formation energy from the elements: -0.231 eV/atom
V: 221 Å³ per cell
E_tot: -2.69 eV per atom

2.
Rb2NaTl3Bi4: relaxed, PBE.

Unit cell a=5.1029 b=5.1029 c=14.4761 alpha=90.00 beta=90.00 gamma=90.00
Fractional coordinates of all 10 atoms:
1 Rb 0.0000 0.5000 0.2426
2 Rb 0.5000 0.0000 0.7574
3 Na 0.5000 0.5000 0.0000
4 Tl 0.0000 0.0000 0.0000
5 Tl 0.0000 0.5000 0.6465
6 Tl 0.5000 0.0000 0.3535
7 Bi 0.0000 0.0000 0.5000
8 Bi 0.0000 0.5000 0.8677
9 Bi 0.5000 0.0000 0.1323
10 Bi 0.5000 0.5000 0.5000

Output
Formation energy from the elements: -0.191 eV/atom
V: 377 Å³ per cell
E_tot: -2.78 eV per atom

3.
RbNaTlBi: relaxed, PBE.

Unit cell a=7.1513 b=7.1513 c=7.1513 alpha=44.21 beta=44.21 gamma=44.21
Fractional coordinates of all 4 atoms:
1 Rb 0.0000 0.0000 0.0000
2 Na 0.4746 0.4746 0.4746
3 Tl 0.2121 0.2121 0.2121
4 Bi 0.7955 0.7955 0.7955

Output
Formation energy from the elements: -0.278 eV/atom
V: 162 Å³ per cell
Energy relative to the lowest polymorph listed for this composition: 0.0 meV per atom
E_tot: -2.41 eV per atom